1.
A geometry-optimized CsInCu2Te structure. Source: Alexandria via LeMat-Bulk, functional PBE.

For the density of states at the Fermi level, the calculation gives 0.424 states/eV/atom. The symmetry is No. 123. For the calculated density, the calculation gives 4.3 g/cm³. For the uncorrected formation energy, the calculation gives 1.27 eV per atom. The distance to the lowest polymorph of the same formula comes out at 1045 meV per atom.

Unit cell a=5.383 b=5.383 c=6.639 alpha=90.00 beta=90.00 gamma=90.00
Positions (direct):
Cs: 0.000 0.000 0.000
In: 0.000 0.000 0.500
Cu: 0.500 0.000 0.000
Te: 0.500 0.500 0.500
Cu: 0.000 0.500 0.000

2.
A geometry-optimized Al3Co structure. Source: Alexandria via LeMat-Bulk, functional PBE.

For the density of states at the Fermi level, the calculation gives 0.326 states/eV/atom. The calculation puts the formation enthalpy at 0 K at -0.30 eV/atom. The symmetry is No. 71. For the calculated density, the calculation gives 3.8 g/cm³.

Unit cell a=6.245 b=6.244 c=6.245 alpha=155.58 beta=142.24 gamma=45.49
Positions (direct):
Al: 0.682 0.682 0.000
Al: 0.318 0.318 0.000
Co: 0.500 0.000 0.500
Al: 0.000 0.500 0.500

3.
A geometry-optimized NaNp2Ni2S6 structure. Source: Alexandria via LeMat-Bulk, functional PBE.

For the density of states at the Fermi level, the calculation gives 1.865 states/eV/atom. The symmetry is No. 2. For the calculated density, the calculation gives 5.4 g/cm³. For the uncorrected formation energy, the calculation gives -0.90 eV per atom.

Unit cell a=6.806 b=7.099 c=7.408 alpha=121.79 beta=90.92 gamma=60.22
Each line ends with the local moment (μB).
Positions (direct):
Na: 0.500 0.000 0.500  0.00
S: 0.941 0.460 0.196  -0.15
S: 0.059 0.540 0.804  -0.15
S: 0.399 0.809 0.061  -0.15
S: 0.226 0.833 0.574  -0.14
Np: 0.169 0.659 0.175  2.84
S: 0.601 0.191 0.939  -0.15
Ni: 0.805 0.230 0.173  -0.81
S: 0.774 0.167 0.426  -0.14
Ni: 0.195 0.770 0.827  -0.81
Np: 0.831 0.341 0.825  2.84

4.
A geometry-optimized CaSm3Ho2Te6 structure. Source: Alexandria via LeMat-Bulk, functional PBE.

For the density of states at the Fermi level, the calculation gives 0.492 states/eV/atom. The symmetry is No. 12. For the calculated density, the calculation gives 7.2 g/cm³. For the uncorrected formation energy, the calculation gives -1.38 eV per atom.

Unit cell a=4.391 b=8.884 c=9.892 alpha=103.69 beta=102.82 gamma=90.00
Positions (direct):
Ca: 0.500 0.000 0.000
Sm: 0.835 0.176 0.671
Sm: 0.500 0.500 0.000
Te: 0.333 0.913 0.666
Ho: 0.170 0.339 0.339
Sm: 0.165 0.824 0.329
Ho: 0.830 0.661 0.661
Te: 0.667 0.576 0.335
Te: 0.996 0.751 0.991
Te: 0.004 0.249 0.009
Te: 0.333 0.424 0.665
Te: 0.667 0.087 0.334